No. 1
Compound: Cs2ZnHg
Source: Alexandria
Functional: PBE
Structure: optimized geometry

```
8
Lattice="-5.1077 5.1077 4.0838 5.1077 -5.1077 4.0838 5.1077 5.1077 -4.0838" Properties=species:S:1:pos:R:3 pbc="T T T"
Cs 7.6615 2.5015 -1.0209
Cs 2.5015 2.5538 1.0209
Cs -2.5538 2.6062 3.0628
Cs 2.6062 2.5538 5.1047
Zn 0.0000 0.0000 0.0000
Zn 0.0000 5.1077 2.0419
Hg 5.1077 0.0000 2.0419
Hg 0.0000 0.0000 4.0838
```

Calculated values
**Relative energy among the computed polymorphs**: 0.090 eV per atom
**Space group**: I-42d (122)
**Calculated formation energy**: 0.45 eV/f.u.


No. 2
Compound: Cs2ZnHg
Source: Alexandria
Functional: PBE
Structure: optimized geometry

```
4
Lattice="0.0000 4.5949 4.5949 4.5949 0.0000 4.5949 4.5949 4.5949 0.0000" Properties=species:S:1:pos:R:3 pbc="T T T"
Cs 2.2975 2.2975 2.2975
Cs 6.8924 6.8924 6.8924
Zn 0.0000 0.0000 0.0000
Hg 4.5949 4.5949 4.5949
```

Calculated values
**Relative energy among the computed polymorphs**: 0.005 eV per atom
**Space group**: Fm-3m (225)
**Calculated formation energy**: 0.11 eV/f.u.


Q: Which of these has the highest relative energy among the computed polymorphs?
A: number 1


Q: Which of these has the lowest calculated formation energy?
A: number 2


Q: Number 1 is which compound?
A: Cs2ZnHg